1.
Y2CrCl (GGA-PBE, relaxed); magnetic moment = 4.19 μB/f.u.; E above lowest polymorph = 0.474 eV per atom
1.0
-2.0345 2.0345 6.0819
2.0345 -2.0345 6.0819
2.0345 2.0345 -6.0819
Y Cr Cl
2 1 1
Cartesian
0.0000 0.0000 0.0000
0.0000 2.0345 3.0409
0.0000 0.0000 6.0819
2.0345 0.0000 3.0409

***

2.
Al3HPd (GGA-PBE, relaxed); magnetic moment = 0.00 μB/f.u.; E above lowest polymorph = 0.377 eV per atom
1.0
4.7253 0.0000 0.0000
0.0000 4.7253 0.0000
0.0000 0.0000 4.7253
Al H Pd
3 1 1
Cartesian
0.0000 0.0000 2.3626
0.0000 2.3626 0.0000
2.3626 0.0000 0.0000
2.3626 2.3626 2.3626
0.0000 0.0000 0.0000

***

> Look up the E above lowest polymorph of the second one.

0.377 eV per atom

***

> Which formula does entry 1 have?

Y2CrCl